Material: CeNdBiTe
Method: DFT, PBE
State: optimized geometry

Its energy above the most stable polymorph in this dataset is 0.000 kcal/mol of atoms. As for the electronic total energy: -5.581 eV/atom. The theoretical density is 7.71 g/cm3. The magnetization is 1.16 μB per formula unit.

It has space group R3m (No. 160, hexagonal axes), with a = 4.5510 Å, b = 4.5510 Å, c = 22.3757 Å, α = 90.00°, β = 90.00° and γ = 120.00°. Symmetry generates all atoms from Ce at (0.0000, 0.0000, 0.0000), Nd at (0.0000, 0.0000, 0.5008), Bi at (0.0000, 0.0000, 0.7502) and Te at (0.0000, 0.0000, 0.2505).